[1]
Computed, not measured: a PBEsol-optimized structure of RbNa3Tl at the SCAN level of DFT.

Properties
**N(E_F)**: 2.9 states/eV/cell
**Space group**: No. 221
**DFT total energy**: -21.2270 eV/atom
**Crystal system**: cubic
**Formation energy from the elements**: -0.08 eV per atom

a = 6.0431 Å, b = 6.0431 Å, c = 6.0431 Å
α = 90.00°, β = 90.00°, γ = 90.00°
Atoms (fractional coordinates):
Na 0.0000 0.5000 0.0000
Na 0.0000 0.0000 0.5000
Na 0.5000 0.0000 0.0000
Tl 0.0000 0.0000 0.0000
Rb 0.5000 0.5000 0.5000

=====

[2]
Computed, not measured: a PBEsol-optimized structure of RbNa2Tl at the SCAN level of DFT.

Properties
**N(E_F)**: 3.8 states/eV/cell
**Offset from the most stable computed form**: 0.000 eV per atom
**Space group**: No. 225
**DFT total energy**: -25.4333 eV/atom
**Crystal system**: cubic
**Formation energy from the elements**: -0.05 eV per atom

a = 5.8712 Å, b = 5.8712 Å, c = 5.8712 Å
α = 60.00°, β = 60.00°, γ = 60.00°
Atoms (fractional coordinates):
Na 0.2500 0.2500 0.2500
Na 0.7500 0.7500 0.7500
Tl 0.5000 0.5000 0.5000
Rb 0.0000 0.0000 0.0000

=====

[3]
Computed, not measured: a PBEsol-optimized structure of RbNa2Tl at the SCAN level of DFT.

Properties
**N(E_F)**: 4.7 states/eV/cell
**Offset from the most stable computed form**: 0.085 eV per atom
**Space group**: No. 122
**DFT total energy**: -25.3484 eV/atom
**Crystal system**: tetragonal
**Formation energy from the elements**: 0.03 eV per atom

a = 5.1934 Å, b = 5.1934 Å, c = 12.5077 Å
α = 101.98°, β = 101.98°, γ = 90.00°
Atoms (fractional coordinates):
Na 0.9331 0.3750 0.2500
Na 0.3169 0.8750 0.2500
Na 0.6250 0.6831 0.7500
Na 0.1250 0.0669 0.7500
Tl 0.2500 0.7500 0.5000
Tl 0.0000 0.0000 0.0000
Rb 0.7500 0.2500 0.5000
Rb 0.5000 0.5000 0.0000

=====

[4]
Computed, not measured: a PBEsol-optimized structure of RbNaW3 at the SCAN level of DFT.

Properties
**N(E_F)**: 4.1 states/eV/cell
**Space group**: No. 221
**DFT total energy**: -42.6240 eV/atom
**Crystal system**: cubic
**Formation energy from the elements**: 4.18 eV per atom

a = 4.7259 Å, b = 4.7259 Å, c = 4.7259 Å
α = 90.00°, β = 90.00°, γ = 90.00°
Atoms (fractional coordinates):
Na 0.5000 0.5000 0.5000
Rb 0.0000 0.0000 0.0000
W 0.0000 0.5000 0.0000
W 0.0000 0.0000 0.5000
W 0.5000 0.0000 0.0000

=====

[5]
Computed, not measured: a PBEsol-optimized structure of RbNaY3 at the SCAN level of DFT.

Properties
**N(E_F)**: 6.7 states/eV/cell
**Space group**: No. 221
**DFT total energy**: -20.7732 eV/atom
**Crystal system**: cubic
**Formation energy from the elements**: 0.92 eV per atom

a = 5.8256 Å, b = 5.8256 Å, c = 5.8256 Å
α = 90.00°, β = 90.00°, γ = 90.00°
Atoms (fractional coordinates):
Y 0.0000 0.5000 0.0000
Y 0.0000 0.0000 0.5000
Y 0.5000 0.0000 0.0000
Na 0.0000 0.0000 0.0000
Rb 0.5000 0.5000 0.5000

=====

[6]
Computed, not measured: a PBEsol-optimized structure of RbNaY2 at the SCAN level of DFT.

Properties
**N(E_F)**: 4.5 states/eV/cell
**Space group**: No. 225
**DFT total energy**: -19.4122 eV/atom
**Crystal system**: cubic
**Formation energy from the elements**: 0.75 eV per atom

a = 5.8962 Å, b = 5.8962 Å, c = 5.8962 Å
α = 60.00°, β = 60.00°, γ = 60.00°
Atoms (fractional coordinates):
Y 0.2500 0.2500 0.2500
Y 0.7500 0.7500 0.7500
Na 0.0000 0.0000 0.0000
Rb 0.5000 0.5000 0.5000

=====

[7]
Computed, not measured: a PBEsol-optimized structure of Rb3NaZr at the SCAN level of DFT.

Properties
**N(E_F)**: 3.8 states/eV/cell
**Space group**: No. 221
**DFT total energy**: -18.3937 eV/atom
**Crystal system**: cubic
**Formation energy from the elements**: 1.03 eV per atom

a = 6.7418 Å, b = 6.7418 Å, c = 6.7418 Å
α = 90.00°, β = 90.00°, γ = 90.00°
Atoms (fractional coordinates):
Na 0.0000 0.0000 0.0000
Rb 0.0000 0.5000 0.0000
Rb 0.0000 0.0000 0.5000
Rb 0.5000 0.0000 0.0000
Zr 0.5000 0.5000 0.5000

=====

[8]
Computed, not measured: a PBEsol-optimized structure of Na3ReRu at the SCAN level of DFT.

Properties
**N(E_F)**: 2.4 states/eV/cell
**Space group**: No. 221
**DFT total energy**: -21.5599 eV/atom
**Crystal system**: cubic
**Formation energy from the elements**: 2.15 eV per atom

a = 5.1905 Å, b = 5.1905 Å, c = 5.1905 Å
α = 90.00°, β = 90.00°, γ = 90.00°
Atoms (fractional coordinates):
Re 0.5000 0.5000 0.5000
Na 0.0000 0.5000 0.0000
Na 0.0000 0.0000 0.5000
Na 0.5000 0.0000 0.0000
Ru 0.0000 0.0000 0.0000